Entry from Alexandria via LeMat-Bulk: a geometry-optimized PaBe2Nb2Ru5 structure (GGA-PBE).

Calculated values
size of the total moment: 0.0 μB per formula unit
E: -174.163 eV per cell
DOS at the Fermi energy: 8.90 states/eV per cell
calculated formation energy: -0.361 eV/atom

a b c (Å): 3.3248 9.4252 9.4252
angles (deg): 90.00 90.00 90.00
With the nearest neighbours (Å) after each atom.
Fractional positions:
Pa 0.0000 0.0000 0.0000  8 Ru 2.71
Pa 0.0000 0.5000 0.5000  8 Ru 2.71
Be 0.0000 0.1228 0.6228  6 Ru 2.31-2.33
Be 0.0000 0.8772 0.3772  6 Ru 2.31-2.33
Be 0.0000 0.6228 0.8772  6 Ru 2.31-2.33
Be 0.0000 0.3772 0.1228  6 Ru 2.31-2.33
Nb 0.0000 0.6690 0.1690  3 Be 2.77-2.78, 10 Ru 2.80-3.06
Nb 0.0000 0.3310 0.8310  3 Be 2.77-2.78, 10 Ru 2.80-3.06
Nb 0.0000 0.1690 0.3310  3 Be 2.77-2.78, 10 Ru 2.80-3.06
Nb 0.0000 0.8310 0.6690  3 Be 2.77-2.78, 10 Ru 2.80-3.06
Ru 0.5000 0.2141 0.0768  2 Be 2.31
Ru 0.5000 0.7859 0.9232  2 Be 2.31
Ru 0.5000 0.0768 0.7859  2 Be 2.31
Ru 0.5000 0.7141 0.4232  2 Be 2.31
Ru 0.5000 0.9232 0.2141  2 Be 2.31
Ru 0.5000 0.2859 0.5768  2 Be 2.31
Ru 0.5000 0.5768 0.7141  2 Be 2.31
Ru 0.5000 0.4232 0.2859  2 Be 2.31
Ru 0.5000 0.5000 0.0000  4 Be 2.33
Ru 0.5000 0.0000 0.5000  4 Be 2.33

=====

Entry from Alexandria via LeMat-Bulk: a geometry-optimized ZrRuN2F structure (GGA-PBE).

Calculated values
size of the total moment: 3.4 μB per formula unit
E: -35.766 eV per cell
DOS at the Fermi energy: 4.39 states/eV per cell
ΔE_f (raw): 0.12 eV per atom

a b c (Å): 4.2669 4.2669 4.0493
angles (deg): 90.00 90.00 90.00
With the nearest neighbours (Å) after each atom.
Fractional positions:
Ru 0.5000 0.5000 0.5000  8 N 2.94, 4 F 3.02
N 0.0000 0.5000 0.0000  2 Zr 2.13
N 0.5000 0.0000 0.0000  2 Zr 2.13
Zr 0.0000 0.0000 0.0000  2 F 2.02, 4 N 2.13
F 0.0000 0.0000 0.5000  2 Zr 2.02

=====

Entry from Alexandria via LeMat-Bulk: a geometry-optimized CoAuSe2 structure (GGA-PBE).

Calculated values
size of the total moment: 0.0 μB per formula unit
E: -35.389 eV per cell
DOS at the Fermi energy: 3.06 states/eV per cell
ΔE_f (raw): -0.09 eV per atom

a b c (Å): 7.8062 7.6622 7.6622
angles (deg): 86.43 127.46 52.54
With the nearest neighbours (Å) after each atom.
Fractional positions:
Co 0.7500 0.2504 0.7504  4 Se 2.26-2.27, 2 Co 2.53
Co 0.2500 0.7496 0.2496  4 Se 2.26-2.27, 2 Co 2.53
Au 0.7500 0.8142 0.3142  2 Se 2.47
Au 0.2500 0.1858 0.6858  2 Se 2.47
Se 0.2625 0.0351 0.2031  2 Co 2.26-2.27, 1 Au 2.47
Se 0.2375 0.7031 0.5351  2 Co 2.26-2.27, 1 Au 2.47
Se 0.7375 0.9649 0.7969  2 Co 2.26-2.27, 1 Au 2.47
Se 0.7625 0.2969 0.4649  2 Co 2.26-2.27, 1 Au 2.47

=====

Entry from Alexandria via LeMat-Bulk: a geometry-optimized NbIn2Br4Cl2 structure (GGA-PBE).

Calculated values
size of the total moment: 1.0 μB per formula unit
E: -33.822 eV per cell
DOS at the Fermi energy: 4.60 states/eV per cell
ΔE_f (raw): -0.88 eV per atom

a b c (Å): 7.6835 7.3304 7.3304
angles (deg): 62.42 59.36 59.36
With the nearest neighbours (Å) after each atom.
Fractional positions:
Nb 0.5000 0.0000 0.0000  2 Cl 2.39, 4 Br 2.62
In 0.2681 0.7494 0.7494  4 Br 3.31-3.32, 1 Cl 3.42
In 0.7319 0.2506 0.2506  4 Br 3.31-3.32, 1 Cl 3.42
Br 0.3113 0.7104 0.1948  1 Nb 2.62
Br 0.6887 0.8052 0.2896  1 Nb 2.62
Br 0.6887 0.2896 0.8052  1 Nb 2.62
Br 0.3113 0.1948 0.7104  1 Nb 2.62
Cl 0.1960 0.2296 0.2296  1 Nb 2.39
Cl 0.8040 0.7704 0.7704  1 Nb 2.39